This record from Alexandria describes crystalline Rb3Ho2USe6 at its relaxed geometry. The functional is PBE.

The structure in POSCAR format:
```
Rb3Ho2USe6
1.0
3.6843 -6.3814 0.0000
3.6843 6.3814 0.0000
-2.4565 0.0000 8.0140
Rb Ho U Se
3 2 1 6
Cartesian
0.0000 0.0000 0.0000
3.6843 2.1232 0.0000
3.6843 -2.1232 0.0000
2.4560 4.2544 4.0070
2.4560 -4.2544 4.0070
2.4560 0.0000 4.0070
1.2103 2.1580 2.4340
-0.0358 0.0000 5.5799
1.2103 -2.1580 2.4340
3.7017 2.1580 5.5800
4.9478 0.0000 2.4341
3.7017 -2.1580 5.5800
```

Calculated values
- mass density (Mg/m³) = 5.72
- E_form (uncorrected) (eV/atom) = -1.540